## PmHo2ScSe6 (GGA-PBE)

Data for a relaxed structure of PmHo2ScSe6.

Values from the calculation:
Volume   283.87 Å³/f.u.
Raw total energy   -0.2170 Ha/atom

a b c (Å): 7.6360 7.6360 7.6360
angles (deg): 55.76 55.76 55.76
With the nearest neighbours (Å) after each atom.
Fractional positions:
Pm (0.0000, 0.0000, 0.0000)  6 Se 2.89-3.00
Ho (0.2988, 0.2988, 0.2988)  6 Se 2.84-2.89
Ho (0.8037, 0.8037, 0.8037)  6 Se 2.82-2.89
Sc (0.4934, 0.4934, 0.4934)  6 Se 2.73-2.76
Se (0.1007, 0.6916, 0.4107)  1 Sc 2.76, 2 Ho 2.82-2.89, 1 Pm 2.89
Se (0.2210, 0.5900, 0.8823)  1 Sc 2.73, 2 Ho 2.84-2.89, 1 Pm 3.00
Se (0.4107, 0.1007, 0.6916)  1 Sc 2.76, 2 Ho 2.82-2.89, 1 Pm 2.89
Se (0.5900, 0.8823, 0.2210)  1 Sc 2.73, 2 Ho 2.84-2.89, 1 Pm 3.00
Se (0.6916, 0.4107, 0.1007)  1 Sc 2.76, 2 Ho 2.82-2.89, 1 Pm 2.89
Se (0.8823, 0.2210, 0.5900)  1 Sc 2.73, 2 Ho 2.84-2.89, 1 Pm 3.00

=====

## PmHoScSe3 (GGA-PBE)

Data for a relaxed structure of PmHoScSe3.

Values from the calculation:
Volume   150.93 Å³/f.u.
Raw total energy   -0.2173 Ha/atom

a b c (Å): 8.3213 4.0447 9.2478
angles (deg): 90.00 104.11 90.00
With the nearest neighbours (Å) after each atom.
Fractional positions:
Pm (0.1776, 0.2500, 0.2207)  7 Se 3.01-3.14
Pm (0.8224, 0.7500, 0.7793)  7 Se 3.01-3.14
Ho (0.3415, 0.7500, 0.8532)  5 Se 2.84-2.91
Ho (0.6585, 0.2500, 0.1468)  5 Se 2.84-2.91
Sc (0.1014, 0.2500, 0.5973)  4 Se 2.66-2.80, 2 Sc 2.95
Sc (0.8986, 0.7500, 0.4027)  4 Se 2.66-2.80, 2 Sc 2.95
Se (0.1008, 0.2500, 0.8845)  1 Sc 2.66, 2 Ho 2.91
Se (0.2450, 0.7500, 0.4884)  3 Sc 2.67-2.80
Se (0.4289, 0.7500, 0.1744)  3 Ho 2.84-2.88, 2 Pm 3.01
Se (0.5711, 0.2500, 0.8256)  3 Ho 2.84-2.88, 2 Pm 3.01
Se (0.7550, 0.2500, 0.5116)  3 Sc 2.67-2.80
Se (0.8992, 0.7500, 0.1155)  1 Sc 2.66, 2 Ho 2.91

=====

## Pm2Sm6Ho3Sc (GGA-PBE)

Data for a relaxed structure of Pm2Sm6Ho3Sc.

Values from the calculation:
Volume   387.50 Å³/f.u.
Formation enthalpy at 0 K   25.1 meV per atom

a b c (Å): 6.1985 6.1985 11.8270
angles (deg): 95.01 95.01 119.99
With the nearest neighbours (Å) after each atom.
Fractional positions:
Pm (0.1666, 0.8334, 0.0000)  3 Pm 3.58, 3 Sc 3.58, 6 Sm 3.58
Pm (0.8334, 0.1666, 0.0000)  3 Pm 3.58, 3 Sc 3.58, 6 Sm 3.58
Sm (0.0872, 0.4170, 0.7497)  6 Sm 3.54-3.60, 3 Ho 3.56-3.58, 1 Sc 3.56, 2 Pm 3.58
Sm (0.2529, 0.2529, 0.2508)  6 Sm 3.54-3.60, 3 Ho 3.56-3.57, 1 Sc 3.57, 2 Pm 3.58
Sm (0.4170, 0.0872, 0.7497)  6 Sm 3.54-3.60, 3 Ho 3.56-3.58, 1 Sc 3.56, 2 Pm 3.58
Sm (0.5830, 0.9128, 0.2503)  6 Sm 3.54-3.60, 3 Ho 3.56-3.58, 1 Sc 3.56, 2 Pm 3.58
Sm (0.7471, 0.7471, 0.7492)  6 Sm 3.54-3.60, 3 Ho 3.56-3.57, 1 Sc 3.57, 2 Pm 3.58
Sm (0.9128, 0.5830, 0.2503)  6 Sm 3.54-3.60, 3 Ho 3.56-3.58, 1 Sc 3.56, 2 Pm 3.58
Ho (0.0000, 0.0000, 0.5000)  6 Sm 3.56-3.57, 6 Ho 3.58
Ho (0.3337, 0.6663, 0.5000)  6 Sm 3.56-3.58, 6 Ho 3.57-3.58
Ho (0.6663, 0.3337, 0.5000)  6 Sm 3.56-3.58, 6 Ho 3.57-3.58
Sc (0.5000, 0.5000, 0.0000)  6 Sm 3.56-3.57, 6 Pm 3.58

=====

## PmSm2Ho5Sc (GGA-PBE)

Data for a relaxed structure of PmSm2Ho5Sc.

Values from the calculation:
Volume   285.92 Å³/f.u.
Formation enthalpy at 0 K   162.4 meV per atom

a b c (Å): 10.2427 10.2427 10.4101
angles (deg): 90.00 90.00 148.43
With the nearest neighbours (Å) after each atom.
Fractional positions:
Pm (0.0873, 0.9127, 0.5000)  5 Ho 3.02-3.24
Pm (0.9127, 0.0873, 0.0000)  5 Ho 3.02-3.24
Sm (0.3856, 0.6144, 0.7776)  1 Sc 3.34, 7 Ho 3.44-3.64, 2 Pm 3.66
Sm (0.3880, 0.6120, 0.3584)  9 Ho 3.25-3.59, 1 Sc 3.54
Sm (0.6120, 0.3880, 0.8584)  9 Ho 3.25-3.59, 1 Sc 3.54
Sm (0.6144, 0.3856, 0.2776)  1 Sc 3.34, 7 Ho 3.44-3.64, 2 Pm 3.66
Ho (0.0184, 0.9816, 0.7827)  2 Pm 3.08-3.24, 2 Sm 3.43
Ho (0.1247, 0.8753, 0.0629)  4 Sm 3.52-3.58, 1 Sc 3.52, 4 Ho 3.59-3.71
Ho (0.2024, 0.7976, 0.7478)  4 Ho 3.38-3.65, 2 Sc 3.42, 1 Pm 3.44, 3 Sm 3.50-3.62
Ho (0.2233, 0.7767, 0.3661)  1 Pm 3.02, 1 Sm 3.25, 2 Ho 3.38
Ho (0.4820, 0.5180, 0.0629)  2 Pm 3.17, 3 Sm 3.33-3.53, 1 Sc 3.52
Ho (0.5180, 0.4820, 0.5629)  2 Pm 3.17, 3 Sm 3.33-3.53, 1 Sc 3.52
Ho (0.7767, 0.2233, 0.8661)  1 Pm 3.02, 1 Sm 3.25, 2 Ho 3.38
Ho (0.7976, 0.2024, 0.2478)  4 Ho 3.38-3.65, 2 Sc 3.42, 1 Pm 3.44, 3 Sm 3.50-3.62
Ho (0.8753, 0.1247, 0.5629)  4 Sm 3.52-3.58, 1 Sc 3.52, 4 Ho 3.59-3.71
Ho (0.9816, 0.0184, 0.2827)  2 Pm 3.08-3.24, 2 Sm 3.43
Sc (0.3035, 0.6965, 0.0580)  2 Sm 3.34-3.54, 7 Ho 3.42-3.57, 2 Pm 3.57
Sc (0.6965, 0.3035, 0.5580)  2 Sm 3.34-3.54, 7 Ho 3.42-3.57, 2 Pm 3.57

=====

Q: Which formula does entry 2 have?
A: PmHoScSe3